No. 1
# Cu5Tc3H12

An optimized crystal structure of Cu5Tc3H12 (PBE-GGA, Alexandria).

Calculated values
N(E_F): 36.386 states/eV per cell
VASP energy: -4.376 eV/atom

The structure in POSCAR format:
```
Cu5Tc3H12
1.0
9.135 0.000 0.000
-3.045 8.612 0.000
-3.045 -4.306 7.458
Tc Cu H
12 20 48
direct
0.750 0.375 0.125 Tc
0.875 0.750 0.125 Tc
0.375 0.750 0.625 Tc
0.250 0.125 0.375 Tc
0.875 0.125 0.250 Tc
0.375 0.625 0.250 Tc
0.625 0.375 0.750 Tc
0.125 0.875 0.750 Tc
0.750 0.875 0.625 Tc
0.625 0.250 0.375 Tc
0.125 0.250 0.875 Tc
0.250 0.625 0.875 Tc
0.125 0.375 0.250 Cu
0.000 0.500 0.000 Cu
0.000 0.000 0.000 Cu
0.375 0.250 0.125 Cu
0.500 0.000 0.500 Cu
0.500 0.500 0.000 Cu
0.125 0.750 0.375 Cu
0.750 0.125 0.875 Cu
0.750 0.625 0.375 Cu
0.375 0.125 0.750 Cu
0.625 0.875 0.250 Cu
0.500 0.500 0.500 Cu
0.500 0.000 0.000 Cu
0.000 0.000 0.500 Cu
0.250 0.375 0.625 Cu
0.250 0.875 0.125 Cu
0.000 0.500 0.500 Cu
0.875 0.250 0.625 Cu
0.625 0.750 0.875 Cu
0.875 0.625 0.750 Cu
0.729 0.143 0.058 H
0.329 0.558 0.415 H
0.942 0.357 0.271 H
0.558 0.229 0.143 H
0.586 0.729 0.671 H
0.942 0.585 0.171 H
0.329 0.771 0.414 H
0.085 0.914 0.143 H
0.585 0.942 0.671 H
0.729 0.586 0.171 H
0.771 0.442 0.357 H
0.829 0.915 0.058 H
0.143 0.729 0.558 H
0.357 0.415 0.086 H
0.086 0.915 0.357 H
0.414 0.143 0.585 H
0.086 0.171 0.229 H
0.442 0.671 0.085 H
0.829 0.914 0.271 H
0.143 0.414 0.085 H
0.357 0.942 0.771 H
0.585 0.643 0.414 H
0.915 0.829 0.558 H
0.771 0.329 0.914 H
0.415 0.357 0.586 H
0.085 0.171 0.442 H
0.229 0.671 0.086 H
0.171 0.086 0.729 H
0.643 0.058 0.229 H
0.857 0.586 0.915 H
0.558 0.329 0.915 H
0.586 0.857 0.415 H
0.914 0.829 0.771 H
0.914 0.085 0.643 H
0.857 0.271 0.442 H
0.171 0.085 0.942 H
0.643 0.585 0.914 H
0.415 0.058 0.329 H
0.271 0.414 0.829 H
0.229 0.558 0.643 H
0.915 0.086 0.857 H
0.671 0.229 0.586 H
0.442 0.771 0.857 H
0.058 0.415 0.829 H
0.414 0.271 0.329 H
0.058 0.643 0.729 H
0.671 0.442 0.585 H
0.271 0.857 0.942 H
```

=====

No. 2
# Cu2TcH

An optimized crystal structure of Cu2TcH (PBE-GGA, Alexandria).

Calculated values
N(E_F): 1.180 states/eV per cell
Distance to the lowest polymorph of the same formula: 0.000 eV per atom
VASP energy: -4.959 eV/atom

The structure in POSCAR format:
```
Cu2TcH
1.0
-0.426 3.747 -3.367
1.721 -3.067 -3.631
-2.512 -0.629 -4.178
H Tc Cu
2 2 4
direct
0.500 0.500 0.000 H
0.250 0.750 0.500 H
0.000 0.000 0.000 Tc
0.750 0.250 0.500 Tc
0.445 0.125 0.250 Cu
0.305 0.625 0.250 Cu
0.375 0.555 0.750 Cu
0.875 0.695 0.750 Cu
```

=====

No. 3
# Cu2TcH

An optimized crystal structure of Cu2TcH (PBE-GGA, Alexandria).

Calculated values
N(E_F): 0.557 states/eV per cell
Distance to the lowest polymorph of the same formula: 0.540 eV per atom
VASP energy: -4.419 eV/atom

The structure in POSCAR format:
```
Cu2TcH
1.0
0.000 2.893 2.893
2.893 0.000 2.893
2.893 2.893 0.000
H Tc Cu
1 1 2
direct
0.000 0.000 0.000 H
0.500 0.500 0.500 Tc
0.250 0.250 0.250 Cu
0.750 0.750 0.750 Cu
```

=====

No. 4
# CuTc2H2

An optimized crystal structure of CuTc2H2 (PBE-GGA, Alexandria).

Calculated values
N(E_F): 6.690 states/eV per cell
Distance to the lowest polymorph of the same formula: 0.194 eV per atom
VASP energy: -5.932 eV/atom

The structure in POSCAR format:
```
CuTc2H2
1.0
5.693 0.000 0.000
0.000 5.693 0.000
0.000 0.000 2.930
H Tc Cu
4 4 2
direct
0.300 0.800 0.000 H
0.800 0.700 0.000 H
0.700 0.200 0.000 H
0.200 0.300 0.000 H
0.145 0.645 0.500 Tc
0.645 0.855 0.500 Tc
0.855 0.355 0.500 Tc
0.355 0.145 0.500 Tc
0.000 0.000 0.000 Cu
0.500 0.500 0.000 Cu
```

=====

No. 5
# CuTcH3

An optimized crystal structure of CuTcH3 (PBE-GGA, Alexandria).

Calculated values
N(E_F): 3.296 states/eV per cell
Distance to the lowest polymorph of the same formula: 0.133 eV per atom
VASP energy: -4.373 eV/atom

The structure in POSCAR format:
```
CuTcH3
1.0
3.280 0.000 0.000
0.000 3.280 0.000
0.000 0.000 3.280
H Tc Cu
3 1 1
direct
0.000 0.500 0.000 H
0.000 0.000 0.500 H
0.500 0.000 0.000 H
0.500 0.500 0.500 Tc
0.000 0.000 0.000 Cu
```

=====

No. 6
# CuTcH3

An optimized crystal structure of CuTcH3 (PBE-GGA, Alexandria).

Calculated values
N(E_F): 3.128 states/eV per cell
Distance to the lowest polymorph of the same formula: 0.000 eV per atom
VASP energy: -4.506 eV/atom

The structure in POSCAR format:
```
CuTcH3
1.0
-1.554 -1.807 2.452
3.032 -1.175 1.056
0.285 2.654 2.136
H Tc Cu
3 1 1
direct
0.000 0.500 0.000 H
0.000 0.000 0.500 H
0.500 0.000 0.000 H
0.000 0.000 0.000 Tc
0.500 0.500 0.500 Cu
```

=====

No. 7
# TiCuTcH2

An optimized crystal structure of TiCuTcH2 (PBE-GGA, Alexandria).

Calculated values
N(E_F): 3.504 states/eV per cell
VASP energy: -5.343 eV/atom

The structure in POSCAR format:
```
TiCuTcH2
1.0
-1.701 2.436 1.826
-3.178 -3.236 1.358
1.947 -0.737 2.798
H Tc Cu Ti
2 1 1 1
direct
0.000 0.000 0.500 H
0.500 0.000 0.000 H
0.000 0.000 0.000 Tc
0.000 0.500 0.000 Cu
0.500 0.500 0.500 Ti
```

=====

No. 8
# Ti2CuTcH

An optimized crystal structure of Ti2CuTcH (PBE-GGA, Alexandria).

Calculated values
N(E_F): 2.528 states/eV per cell
Distance to the lowest polymorph of the same formula: 0.000 eV per atom
VASP energy: -7.003 eV/atom

The structure in POSCAR format:
```
Ti2CuTcH
1.0
4.234 0.000 0.000
0.000 4.234 0.000
0.000 0.000 3.381
H Tc Cu Ti
1 1 1 2
direct
0.000 0.000 0.000 H
0.500 0.500 0.500 Tc
0.000 0.000 0.500 Cu
0.000 0.500 0.000 Ti
0.500 0.000 0.000 Ti
```

=====

No. 9
# Ti2CuTcH

An optimized crystal structure of Ti2CuTcH (PBE-GGA, Alexandria).

Calculated values
N(E_F): 3.841 states/eV per cell
Distance to the lowest polymorph of the same formula: 0.061 eV per atom
VASP energy: -6.942 eV/atom

The structure in POSCAR format:
```
Ti2CuTcH
1.0
-3.829 -1.164 -1.098
-0.384 -2.095 3.561
-1.344 2.932 1.580
H Tc Cu Ti
1 1 1 2
direct
0.000 0.000 0.000 H
0.000 0.000 0.500 Tc
0.500 0.500 0.500 Cu
0.000 0.500 0.000 Ti
0.500 0.000 0.000 Ti
```

=====

No. 10
# CuTc2HW

An optimized crystal structure of CuTc2HW (PBE-GGA, Alexandria).

Calculated values
N(E_F): 3.960 states/eV per cell
Distance to the lowest polymorph of the same formula: 2.370 eV per atom
VASP energy: -5.696 eV/atom

The structure in POSCAR format:
```
CuTc2HW
1.0
-3.798 -1.690 -1.582
2.288 -2.206 -3.137
0.406 -3.479 2.743
H Cu Tc W
1 1 2 1
direct
0.500 0.500 0.500 H
0.000 0.000 0.000 Cu
0.000 0.000 0.500 Tc
0.500 0.000 0.000 Tc
0.000 0.500 0.000 W
```

=====

No. 11
# CuTc2HW

An optimized crystal structure of CuTc2HW (PBE-GGA, Alexandria).

Calculated values
N(E_F): 2.279 states/eV per cell
Distance to the lowest polymorph of the same formula: 0.000 eV per atom
VASP energy: -8.066 eV/atom

The structure in POSCAR format:
```
CuTc2HW
1.0
-0.835 -2.777 2.800
3.890 -1.048 0.120
0.584 2.468 2.621
H Cu Tc W
1 1 2 1
direct
0.000 0.000 0.000 H
0.000 0.000 0.500 Cu
0.000 0.500 0.000 Tc
0.500 0.000 0.000 Tc
0.500 0.500 0.500 W
```

=====

No. 12
# CuTc2HW

An optimized crystal structure of CuTc2HW (PBE-GGA, Alexandria).

Calculated values
N(E_F): 4.479 states/eV per cell
Distance to the lowest polymorph of the same formula: 0.064 eV per atom
VASP energy: -8.002 eV/atom

The structure in POSCAR format:
```
CuTc2HW
1.0
3.920 0.000 0.000
0.000 3.920 0.000
0.000 0.000 3.896
H Cu Tc W
1 1 2 1
direct
0.000 0.000 0.000 H
0.500 0.500 0.500 Cu
0.000 0.500 0.000 Tc
0.500 0.000 0.000 Tc
0.000 0.000 0.500 W
```

=====

No. 13
# Y2CuTcH

An optimized crystal structure of Y2CuTcH (PBE-GGA, Alexandria).

Calculated values
N(E_F): 1.781 states/eV per cell
Distance to the lowest polymorph of the same formula: 0.000 eV per atom
VASP energy: -6.356 eV/atom

The structure in POSCAR format:
```
Y2CuTcH
1.0
-3.543 3.329 -0.844
-1.125 0.021 4.804
2.338 2.624 0.536
Y H Tc Cu
2 1 1 1
direct
0.000 0.500 0.000 Y
0.500 0.000 0.000 Y
0.000 0.000 0.000 H
0.000 0.000 0.500 Tc
0.500 0.500 0.500 Cu
```

=====

No. 14
# Y2CuTcH

An optimized crystal structure of Y2CuTcH (PBE-GGA, Alexandria).

Calculated values
N(E_F): 4.367 states/eV per cell
Distance to the lowest polymorph of the same formula: 0.482 eV per atom
VASP energy: -5.875 eV/atom

The structure in POSCAR format:
```
Y2CuTcH
1.0
-2.056 4.163 -2.531
-3.248 -1.075 0.869
0.254 2.835 4.456
Y H Tc Cu
2 1 1 1
direct
0.000 0.000 0.500 Y
0.500 0.000 0.000 Y
0.000 0.500 0.000 H
0.000 0.000 0.000 Tc
0.500 0.500 0.500 Cu
```

=====

No. 15
# Zn2CuTcH

An optimized crystal structure of Zn2CuTcH (PBE-GGA, Alexandria).

Calculated values
N(E_F): 1.860 states/eV per cell
VASP energy: -3.947 eV/atom

The structure in POSCAR format:
```
Zn2CuTcH
1.0
-3.465 1.906 -0.477
-1.368 -1.760 2.905
1.283 2.927 2.377
H Zn Tc Cu
1 2 1 1
direct
0.000 0.000 0.000 H
0.000 0.000 0.500 Zn
0.500 0.000 0.000 Zn
0.000 0.500 0.000 Tc
0.500 0.500 0.500 Cu
```

=====

No. 16
# ZrCuTc2H

An optimized crystal structure of ZrCuTc2H (PBE-GGA, Alexandria).

Calculated values
N(E_F): 7.906 states/eV per cell
VASP energy: -6.051 eV/atom

The structure in POSCAR format:
```
ZrCuTc2H
1.0
-3.655 -0.031 -3.217
-1.043 -2.977 1.213
-2.845 2.305 3.210
H Cu Tc Zr
1 1 2 1
direct
0.000 0.500 0.000 H
0.500 0.500 0.500 Cu
0.000 0.000 0.500 Tc
0.500 0.000 0.000 Tc
0.000 0.000 0.000 Zr
```

=====

No. 17
# Zr2CuTcH

An optimized crystal structure of Zr2CuTcH (PBE-GGA, Alexandria).

Calculated values
N(E_F): 3.069 states/eV per cell
Distance to the lowest polymorph of the same formula: 0.046 eV per atom
VASP energy: -7.207 eV/atom

The structure in POSCAR format:
```
Zr2CuTcH
1.0
-2.217 -0.499 3.920
3.857 -1.249 2.023
0.685 3.457 0.827
H Cu Tc Zr
1 1 1 2
direct
0.000 0.000 0.000 H
0.500 0.500 0.500 Cu
0.000 0.000 0.500 Tc
0.000 0.500 0.000 Zr
0.500 0.000 0.000 Zr
```

=====

No. 18
# Zr2CuTcH

An optimized crystal structure of Zr2CuTcH (PBE-GGA, Alexandria).

Calculated values
N(E_F): 2.271 states/eV per cell
Distance to the lowest polymorph of the same formula: 0.000 eV per atom
VASP energy: -7.253 eV/atom

The structure in POSCAR format:
```
Zr2CuTcH
1.0
-3.454 -0.346 -2.988
2.716 -2.314 -2.871
-0.981 -2.989 1.481
H Cu Tc Zr
1 1 1 2
direct
0.000 0.000 0.000 H
0.000 0.000 0.500 Cu
0.500 0.500 0.500 Tc
0.000 0.500 0.000 Zr
0.500 0.000 0.000 Zr
```

=====

No. 19
# CuTe2H

An optimized crystal structure of CuTe2H (PBE-GGA, Alexandria).

Calculated values
N(E_F): 4.193 states/eV per cell
Distance to the lowest polymorph of the same formula: 0.482 eV per atom
VASP energy: -2.819 eV/atom

The structure in POSCAR format:
```
CuTe2H
1.0
2.956 -2.436 -2.668
-0.494 -4.624 -0.410
-1.470 -1.842 -4.030
H Te Cu
1 2 1
direct
0.000 0.000 0.000 H
0.250 0.250 0.250 Te
0.750 0.750 0.750 Te
0.500 0.500 0.500 Cu
```

=====

No. 20
# CuTeH

An optimized crystal structure of CuTeH (PBE-GGA, Alexandria).

Calculated values
N(E_F): 0.759 states/eV per cell
Distance to the lowest polymorph of the same formula: 0.314 eV per atom
VASP energy: -3.267 eV/atom

The structure in POSCAR format:
```
CuTeH
1.0
3.783 0.000 0.000
0.000 3.783 0.000
-1.891 -1.891 3.320
H Te Cu
1 1 1
direct
0.566 0.566 0.131 H
0.946 0.946 0.893 Te
0.338 0.338 0.676 Cu
```

=====

No. 21
# CuTe2H

An optimized crystal structure of CuTe2H (PBE-GGA, Alexandria).

Calculated values
N(E_F): 4.971 states/eV per cell
Distance to the lowest polymorph of the same formula: 0.000 eV per atom
VASP energy: -3.301 eV/atom

The structure in POSCAR format:
```
CuTe2H
1.0
-2.562 2.289 4.171
3.961 -3.226 4.203
8.821 6.911 1.625
Cu Te H
4 8 4
direct
0.250 0.615 0.612 Cu
0.750 0.385 0.388 Cu
0.250 0.885 0.888 Cu
0.750 0.115 0.112 Cu
0.748 0.937 0.936 Te
0.252 0.063 0.064 Te
0.748 0.563 0.564 Te
0.252 0.437 0.436 Te
0.763 0.493 0.146 Te
0.237 0.507 0.854 Te
0.763 0.007 0.354 Te
0.237 0.993 0.646 Te
0.454 0.970 0.366 H
0.546 0.030 0.634 H
0.454 0.530 0.134 H
0.546 0.470 0.866 H
```

=====

No. 22
# CuTeH

An optimized crystal structure of CuTeH (PBE-GGA, Alexandria).

Calculated values
N(E_F): 1.068 states/eV per cell
Distance to the lowest polymorph of the same formula: 0.376 eV per atom
VASP energy: -3.205 eV/atom

The structure in POSCAR format:
```
CuTeH
1.0
-1.852 0.989 1.849
0.858 -4.338 5.296
1.915 2.936 2.464
H Te Cu
1 1 1
direct
0.268 0.464 0.000 H
0.032 0.936 0.000 Te
0.700 0.600 0.000 Cu
```

=====

No. 23
# Cu2Te3H2

An optimized crystal structure of Cu2Te3H2 (PBE-GGA, Alexandria).

Calculated values
N(E_F): 2.067 states/eV per cell
VASP energy: -3.285 eV/atom

The structure in POSCAR format:
```
Cu2Te3H2
1.0
-1.895 1.175 -2.322
-2.524 -3.031 -1.642
-6.096 9.837 5.258
Cu Te H
2 3 2
direct
0.265 0.882 0.793 Cu
0.735 0.118 0.207 Cu
0.500 0.000 0.000 Te
0.192 0.928 0.354 Te
0.808 0.072 0.646 Te
0.087 0.614 0.106 H
0.913 0.386 0.894 H
```

=====

No. 24
# CuTe2H

An optimized crystal structure of CuTe2H (PBE-GGA, Alexandria).

Calculated values
N(E_F): 1.692 states/eV per cell
Distance to the lowest polymorph of the same formula: 0.479 eV per atom
VASP energy: -2.822 eV/atom

The structure in POSCAR format:
```
CuTe2H
1.0
1.958 0.000 8.114
-0.979 1.696 8.114
-0.979 -1.696 8.114
H Te Cu
1 2 1
direct
0.500 0.500 0.500 H
0.898 0.898 0.898 Te
0.102 0.102 0.102 Te
0.000 0.000 0.000 Cu
```